A relaxed structure of Si2Au2O, computed with GGA-PBE.

Cell lengths 5.5470, 5.5470, 5.1011 Å; angles 90.00, 90.00, 90.00 degrees
Space group P4/mbm (No. 127)
One atom of each set of equivalent atoms:
Si: 0.1820 0.3180 0.0000 x4
Au: 0.1847 0.3153 0.5000 x4
O: 0.0000 0.0000 0.0000 x2

Results
**Spin magnetization**: 0.000 μB per formula unit
**Raw total energy**: -45.61 eV per cell